Below is an optimized crystal structure of CrIr2Br, with properties calculated at the GGA-PBE level.

Calculated values
**E_tot**: -6.31 eV/atom
**Formation energy without anion corrections**: 0.948 eV/atom
**SG**: No. 216
**D(E_F)**: 2.0651 states/eV/atom

```
4
Lattice="4.490 0.000 0.000 2.245 3.889 0.000 2.245 1.296 3.666" Properties=species:S:1:pos:R:3 pbc="T T T"
Br 4.490 2.592 1.833
Cr 6.735 3.889 2.750
Ir 0.000 0.000 0.000
Ir 2.245 1.296 0.917
```